# Tm3In5

Tm3In5 after structural relaxation (PBE-GGA, the Alexandria database).

Unit cell a=9.0796 b=9.3351 c=4.7555 alpha=90.00 beta=90.00 gamma=90.00
Space group Cmmm (No. 65)
Inequivalent atoms, fractional coordinates:
Tm 0.0000 0.0000 0.0000 x2
Tm 0.0000 0.2733 0.5000 x4
In 0.0000 0.5000 0.0000 x2
In 0.2313 0.0000 0.5000 x4
In 0.2500 0.2500 0.0000 x4

## Properties
Energy of formation from the pure elements in eV/atom: -0.385
Excess energy over the best structure of this formula in the dataset in eV/atom: 0.021
Calculated total energy in eV per atom: -3.773

# Tm4In3

Tm4In3 after structural relaxation (PBE-GGA, the Alexandria database).

Unit cell a=5.0833 b=5.0833 c=28.4088 alpha=90.00 beta=90.00 gamma=120.00
Space group R-3m (No. 166, hexagonal axes)
Inequivalent atoms, fractional coordinates:
Tm 0.0000 0.0000 0.1221 x6
Tm 0.0000 0.0000 0.2944 x6
In 0.0000 0.0000 0.4006 x6
In 0.0000 0.0000 0.5000 x3

## Properties
Energy of formation from the pure elements in eV/atom: -0.092
Calculated total energy in eV per atom: -3.820

# TmUIn

TmUIn after structural relaxation (PBE-GGA, the Alexandria database).

Unit cell a=16.4819 b=3.5308 c=5.2758 alpha=90.00 beta=94.35 gamma=90.00
Space group C2/m (No. 12)
Inequivalent atoms, fractional coordinates:
Tm 0.0895 0.0000 0.3160 x4
U 0.2424 0.0000 0.8233 x4
In 0.0761 0.5000 0.8194 x4

## Properties
Energy of formation from the pure elements in eV/atom: -0.095
Calculated total energy in eV per atom: -6.261

Q: What is the energy of formation from the pure elements in the second record?
A: -0.092 eV/atom

Copy entry 2 word for word.
# Tm4In3

Tm4In3 after structural relaxation (PBE-GGA, the Alexandria database).

Unit cell a=5.0833 b=5.0833 c=28.4088 alpha=90.00 beta=90.00 gamma=120.00
Space group R-3m (No. 166, hexagonal axes)
Inequivalent atoms, fractional coordinates:
Tm 0.0000 0.0000 0.1221 x6
Tm 0.0000 0.0000 0.2944 x6
In 0.0000 0.0000 0.4006 x6
In 0.0000 0.0000 0.5000 x3

## Properties
Energy of formation from the pure elements in eV/atom: -0.092
Calculated total energy in eV per atom: -3.820

Q: Look up the calculated total energy of the third one.
A: -6.261 eV per atom